Ta3Co3C after structural relaxation, computed with PBE.

Structure (POSCAR):
```
Ta3Co3C
1.0
-3.2504 -4.3526 5.8598
6.1603 4.8422 1.5659
-7.1755 3.0826 -1.6905
Ta Co C
12 12 4
Direct
0.1985 0.3970 0.1985
0.1985 0.0000 0.8015
0.1985 0.0000 0.1985
0.5515 0.1030 0.0515
0.5515 0.5000 0.0515
0.8015 0.0000 0.8015
0.8015 0.0000 0.1985
0.9485 0.8970 0.4485
0.5515 0.5000 0.4485
0.9485 0.5000 0.4485
0.8015 0.6030 0.8015
0.9485 0.5000 0.0515
0.2638 0.8425 0.4213
0.3750 0.7500 0.1250
0.5787 0.8425 0.4213
0.1713 0.6575 0.8287
0.3750 0.2500 0.6250
0.1713 0.3425 0.8287
0.8750 0.2500 0.6250
0.4862 0.6575 0.8287
0.3750 0.7500 0.6250
0.5787 0.1575 0.7362
0.5787 0.1575 0.4213
0.1713 0.3425 0.5138
0.8750 0.7500 0.6250
0.8750 0.2500 0.1250
0.8750 0.7500 0.1250
0.3750 0.2500 0.1250
```

Summary:
Its crystal system is cubic. The calculation puts the total magnetization at 1.3 μB/f.u. The calculation puts the total energy at -9.792 eV per atom.